1.
La2Te PBE optimized geometry; E = -5.2858 eV/atom; M_tot = 0.000 μB per cell
1.0
2.0942 6.0272 0.0175
-2.0942 6.0272 0.0175
0.0000 4.1853 8.0974
Te La
2 4
Direct
0.8365 0.8365 0.1730 Te
0.1635 0.1635 0.8270 Te
0.5673 0.5673 0.1504 La
0.1515 0.1515 0.4534 La
0.8485 0.8485 0.5466 La
0.4327 0.4327 0.8496 La



2.
Cd2Ni2Sb PBE optimized geometry; excess energy over the best structure of this formula in the dataset = 0.000 eV per atom; E = -3.4919 eV/atom; M_tot = 0.000 μB per cell
1.0
6.5842 0.0000 0.0000
0.0000 6.5842 0.0000
0.0000 0.0000 4.0906
Cd Sb Ni
4 2 4
Direct
0.3435 0.1565 0.5000 Cd
0.1565 0.6565 0.5000 Cd
0.6565 0.8435 0.5000 Cd
0.8435 0.3435 0.5000 Cd
0.0000 0.0000 0.0000 Sb
0.5000 0.5000 0.0000 Sb
0.3594 0.8594 0.0000 Ni
0.8594 0.6406 0.0000 Ni
0.1406 0.3594 0.0000 Ni
0.6406 0.1406 0.0000 Ni



3.
Cs2GaPtCl6 PBE optimized geometry; E = -3.3425 eV/atom; M_tot = 0.005 μB per cell
1.0
-4.6197 -4.1900 3.8687
3.5967 -6.0044 -2.2080
2.6525 -4.7354 5.0005
Cl Pt Cs Ga
6 1 2 1
Direct
0.7548 0.2452 0.0000 Cl
0.2452 0.7548 0.0000 Cl
0.7728 0.7728 0.4545 Cl
0.7548 0.7548 0.0000 Cl
0.2272 0.2272 0.5455 Cl
0.2452 0.2452 0.0000 Cl
0.0000 0.0000 0.0000 Pt
0.7500 0.2500 0.5000 Cs
0.2500 0.7500 0.5000 Cs
0.5000 0.5000 0.0000 Ga



4.
SnIO2 PBE optimized geometry; excess energy over the best structure of this formula in the dataset = 1.185 eV per atom; E = -3.6850 eV/atom; M_tot = 0.000 μB per cell
1.0
-7.6332 1.7302 0.5426
-7.4588 -1.0412 2.1989
-6.7221 1.7554 3.6448
I O Sn
1 2 1
Direct
0.5000 0.5000 0.5000 I
0.9085 0.9085 0.9085 O
0.0915 0.0915 0.0915 O
0.0000 0.0000 0.0000 Sn



5.
Ho8In2Rh PBE optimized geometry; energy relative to the elements = -0.33 eV per atom; E = -4.8230 eV/atom; M_tot = 0.000 μB per cell
1.0
5.4188 0.0000 0.0000
0.0000 6.9582 -0.1355
-2.7094 -3.1644 8.0657
Ho In Rh
8 2 1
Direct
0.0095 0.7675 0.0189 Ho
0.3956 0.5909 0.7912 Ho
0.3590 0.0863 0.7181 Ho
0.1946 0.2444 0.3891 Ho
0.6410 0.9137 0.2819 Ho
0.8054 0.7556 0.6109 Ho
0.6044 0.4091 0.2088 Ho
0.9905 0.2325 0.9811 Ho
0.1827 0.6915 0.3654 In
0.8173 0.3085 0.6346 In
0.5000 0.0000 0.0000 Rh



6.
CuAgPd PBE optimized geometry; energy relative to the elements = 0.15 eV per atom; excess energy over the best structure of this formula in the dataset = 0.176 eV per atom; E = -3.9015 eV/atom; M_tot = 0.000 μB per cell
1.0
5.0884 0.0000 0.0000
0.0000 4.5182 0.0000
0.0000 0.0000 12.7901
Pd Cu Ag
6 6 6
Direct
0.0895 0.1286 0.5000 Pd
0.8330 0.3734 0.1042 Pd
0.3330 0.6266 0.6042 Pd
0.3330 0.6266 0.3958 Pd
0.5895 0.8714 0.0000 Pd
0.8330 0.3734 0.8958 Pd
0.3468 0.3616 0.0000 Cu
0.8239 0.8795 0.7971 Cu
0.8468 0.6384 0.5000 Cu
0.8239 0.8795 0.2029 Cu
0.3239 0.1205 0.7029 Cu
0.3239 0.1205 0.2971 Cu
0.3329 0.6215 0.1822 Ag
0.3329 0.6215 0.8178 Ag
0.0841 0.8764 0.0000 Ag
0.5841 0.1236 0.5000 Ag
0.8329 0.3785 0.6822 Ag
0.8329 0.3785 0.3178 Ag